A relaxed K2Rb6Na crystal, computed with PBE.

## Properties
Uncorrected energy in eV for the cell shown: -18.22
Formation enthalpy at 0 K in eV/f.u.: 0.210

abc: 12.171 23.958 5.036
angles: 90.00 100.33 90.00
Space group C2/m (No. 12)
One atom of each set of equivalent atoms:
K 0.000 0.141 0.000 x4
Rb 0.168 0.329 0.313 x8
Rb 0.191 0.500 0.837 x4
Na 0.000 0.000 0.500 x2

***

A relaxed Ho8CdIr2 crystal, computed with PBE.

## Properties
Uncorrected energy in eV for the cell shown: -119.24
Formation enthalpy at 0 K in eV/f.u.: -4.362

abc: 8.669 13.138 5.466
angles: 90.00 103.33 90.00
Space group C2/m (No. 12)
One atom of each set of equivalent atoms:
Ho 0.000 0.248 0.000 x4
Ho 0.116 0.500 0.801 x4
Ho 0.199 0.131 0.579 x8
Cd 0.000 0.000 0.000 x2
Ir 0.000 0.310 0.500 x4

***

A relaxed Ba2LiAlH crystal, computed with PBE.

## Properties
Uncorrected energy in eV for the cell shown: -13.82

abc: 5.768 5.768 4.285
angles: 90.00 90.00 90.00
Space group P4/mmm (No. 123)
One atom of each set of equivalent atoms:
Ba 0.000 0.500 0.000 x2
Li 0.000 0.000 0.500 x1
Al 0.500 0.500 0.500 x1
H 0.000 0.000 0.000 x1

***

A relaxed SmErAg2Se4 crystal, computed with PBE.

## Properties
Uncorrected formation energy in eV per atom: -1.16
Uncorrected energy in eV for the cell shown: -38.18

abc: 6.879 4.206 7.279
angles: 90.00 110.32 90.00
Space group P2/m (No. 10)
One atom of each set of equivalent atoms:
Sm 0.000 0.000 0.000 x1
Er 0.000 0.500 0.500 x1
Ag 0.500 0.000 0.500 x1
Ag 0.500 0.500 0.000 x1
Se 0.246 0.000 0.741 x2
Se 0.248 0.500 0.254 x2

***

A relaxed LiPdRh crystal, computed with PBE.

## Properties
Uncorrected energy in eV for the cell shown: -14.71
Formation enthalpy at 0 K in eV/f.u.: -0.255

abc: 2.7256 2.7256 6.6504
angles: 90.00 90.00 120.00
Space group P3m1 (No. 156)
One atom of each set of equivalent atoms:
Li 0.0000 0.0000 0.0000 x1
Pd 0.6667 0.3333 0.3251 x1
Rh 0.3333 0.6667 0.6742 x1

***

A relaxed Pr3Bi2P crystal, computed with PBE.

## Properties
Uncorrected energy in eV for the cell shown: -67.05
Formation enthalpy at 0 K in eV/f.u.: -6.014

abc: 4.4200 4.4200 23.1308
angles: 90.00 90.00 120.00
Space group P6_3/mmc (No. 194)
One atom of each set of equivalent atoms:
Pr 0.0000 0.0000 0.0000 x2
Pr 0.3333 0.6667 0.1734 x4
Bi 0.3333 0.6667 0.5861 x4
P 0.0000 0.0000 0.2500 x2

***

A relaxed MgAlSeO5 crystal, computed with PBE.

## Properties
Uncorrected formation energy in eV per atom: -1.73
Uncorrected energy in eV for the cell shown: -189.67

abc: 7.443 7.612 7.492
angles: 90.00 119.08 90.00
Space group C2/c (No. 15)
One atom of each set of equivalent atoms:
Mg 0.000 0.192 0.250 x4
Al 0.000 0.500 0.000 x4
Se 0.000 0.189 0.750 x4
O 0.000 0.480 0.250 x4
O 0.041 0.257 0.527 x8
O 0.190 0.030 0.858 x8

***

A relaxed LiTe2I crystal, computed with PBE.

## Properties
Uncorrected formation energy in eV per atom: -0.45
Uncorrected energy in eV for the cell shown: -46.14

abc: 4.213 4.213 37.181
angles: 90.00 90.00 90.00
Space group I-42d (No. 122)
One atom of each set of equivalent atoms:
Li 0.000 0.000 0.000 x4
Te 0.250 0.250 0.125 x8
I 0.000 0.000 0.500 x4

***

no.,magnetization (μB/cell),mass density (Mg/m³)
1,0.000,1.4
2,0.000,10.0
3,0.000,3.6
4,0.000,7.1
5,0.642,8.4
6,0.000,7.4
7,0.000,3.8
8,0.000,3.9